<a>
SrIr2Au at its PBEsol-relaxed geometry, computed with meta-GGA SCAN.

Cell lengths 2.9441, 2.9441, 8.3033 Å; angles 90.00, 90.00, 90.00 degrees
Fractional coordinates of all 4 atoms:
1 Sr 0.0000 0.0000 0.0000
2 Ir 0.5000 0.5000 0.2840
3 Ir 0.5000 0.5000 0.7160
4 Au 0.0000 0.0000 0.5000

Results
calculated volume = 72 Å³/f.u.
space group = P4/mmm

<b>
SrIr2Au at its PBEsol-relaxed geometry, computed with meta-GGA SCAN.

Cell lengths 2.8374, 4.7520, 5.5645 Å; angles 90.00, 100.68, 90.00 degrees
Fractional coordinates of all 4 atoms:
1 Sr 0.0000 0.0000 0.0000
2 Ir 0.3278 0.5000 0.7017
3 Ir 0.6722 0.5000 0.2983
4 Au 0.5000 0.0000 0.5000

Results
calculated volume = 74 Å³/f.u.
space group = P2/m

The energetic minimum among the shown structures is <b>; the next structure lies 274 meV/atom above.